[1]
The following is a DFT calculation (GGA-PBE) of a relaxed TmI crystal.

Output
**DFT total energy**: -0.2699 Ry per atom
**Magnetic moment**: 0.01 μB per atom

a b c (Å): 3.7449 3.7449 4.6860
angles (deg): 90.00 90.00 120.00
With the nearest neighbours (Å) after each atom.
Atoms (fractional coordinates):
Tm 0.0000 0.0000 0.0000  6 I 3.19
I 0.3333 0.6667 0.5000  6 Tm 3.19

[2]
The following is a DFT calculation (GGA-PBE) of a relaxed TmI2 crystal.

Output
**DFT total energy**: -0.1536 Ry per atom
**Magnetic moment**: 0.19 μB per atom

a b c (Å): 6.7893 6.7893 6.7893
angles (deg): 60.00 60.00 60.00
With the nearest neighbours (Å) after each atom.
Atoms (fractional coordinates):
Tm 0.1250 0.1250 0.1250  12 I 3.98, 4 Tm 4.16
Tm 0.8750 0.8750 0.8750  12 I 3.98, 4 Tm 4.16
I 0.0000 0.5000 0.5000  6 I 3.39
I 0.5000 0.0000 0.5000  6 I 3.39
I 0.5000 0.5000 0.0000  6 I 3.39
I 0.5000 0.5000 0.5000  6 I 3.39

[3]
The following is a DFT calculation (GGA-PBE) of a relaxed TmI3 crystal.

Output
**DFT total energy**: -0.2627 Ry per atom
**Magnetic moment**: 0.00 μB per atom

a b c (Å): 8.0414 8.0414 8.0414
angles (deg): 55.28 55.28 55.28
With the nearest neighbours (Å) after each atom.
Atoms (fractional coordinates):
Tm 0.0000 0.0000 0.0000  6 I 3.00
Tm 0.5000 0.5000 0.5000  6 I 3.00
I 0.0867 0.7500 0.4133  2 Tm 3.00
I 0.2500 0.5867 0.9133  2 Tm 3.00
I 0.4133 0.0867 0.7500  2 Tm 3.00
I 0.5867 0.9133 0.2500  2 Tm 3.00
I 0.7500 0.4133 0.0867  2 Tm 3.00
I 0.9133 0.2500 0.5867  2 Tm 3.00